DFT (PBE-GGA) results for a relaxed structure of Na3In2Sn9.

The structure in extended XYZ format:
```
14
Lattice="-2.6259 6.0719 6.2978 2.6259 -6.0719 6.2978 2.6259 6.0719 -6.2978" Properties=species:S:1:pos:R:3 pbc="T T T"
Na 0.0000 0.0000 0.0000
Na 0.0000 0.0000 3.5320
Na 0.0000 0.0000 9.0636
In 2.6259 4.2370 0.0000
In 0.0000 1.8349 6.2978
Sn 2.6259 -1.5672 1.7127
Sn 2.6259 -2.7867 4.5776
Sn 2.6259 1.5672 1.7127
Sn 0.0000 3.2851 1.7202
Sn 0.0000 6.0719 0.0000
Sn 2.6259 2.7867 4.5776
Sn 0.0000 4.5047 4.5850
Sn 0.0000 8.8586 1.7202
Sn 0.0000 7.6391 4.5850
```

Computed properties:
Magnetic moment: 0.00 μB/f.u.
DFT formation energy: -64 meV/atom
Space-group type: Immm
Raw total energy: -46.36 eV/cell